Density functional theory data (GGA-PBE) for Pm6Er12Al after structural relaxation.

a = 11.8026 Å, b = 11.8026 Å, c = 14.8175 Å
α = 90.00°, β = 90.00°, γ = 120.00°
Space group R-3 (No. 148, hexagonal axes)
Unique sites:
Pm (0.0164, 0.4248, 0.1829) (multiplicity 18)
Er (0.0007, 0.8293, 0.6859) (multiplicity 18)
Er (0.0467, 0.8529, 0.9152) (multiplicity 18)
Al (0.0000, 0.0000, 0.5000) (multiplicity 3)

Output
ΔH_f (0 K) = 0.090 eV/atom
VASP energy = -4.489 eV/atom
D(E_F) = 70.90 states/eV/cell



Density functional theory data (GGA-PBE) for Pm2Er3Al after structural relaxation.

a = 4.8099 Å, b = 14.9230 Å, c = 4.8503 Å
α = 90.00°, β = 90.00°, γ = 90.00°
Space group Cmmm (No. 65)
Unique sites:
Pm (0.0000, 0.1593, 0.0000) (multiplicity 4)
Er (0.0000, 0.0000, 0.5000) (multiplicity 2)
Er (0.0000, 0.3381, 0.5000) (multiplicity 4)
Al (0.0000, 0.5000, 0.0000) (multiplicity 2)

Output
ΔH_f (0 K) = -0.084 eV/atom
VASP energy = -4.572 eV/atom
D(E_F) = 13.65 states/eV/cell



Density functional theory data (GGA-PBE) for Pm5Er4Al after structural relaxation.

a = 3.5870 Å, b = 3.5870 Å, c = 24.1855 Å
α = 90.00°, β = 90.00°, γ = 90.00°
Space group P4/mmm (No. 123)
Unique sites:
Pm (0.0000, 0.0000, 0.0000) (multiplicity 1)
Pm (0.0000, 0.0000, 0.2084) (multiplicity 2)
Pm (0.0000, 0.0000, 0.4194) (multiplicity 2)
Er (0.5000, 0.5000, 0.1038) (multiplicity 2)
Er (0.5000, 0.5000, 0.3115) (multiplicity 2)
Al (0.5000, 0.5000, 0.5000) (multiplicity 1)

Output
ΔH_f (0 K) = -0.047 eV/atom
VASP energy = -4.621 eV/atom
D(E_F) = 13.86 states/eV/cell



Density functional theory data (GGA-PBE) for Pm4ErAl4 after structural relaxation.

a = 8.8580 Å, b = 8.8580 Å, c = 6.0155 Å
α = 90.00°, β = 90.00°, γ = 90.00°
Space group P4_2/n (No. 86, origin choice 2)
Unique sites:
Pm (0.0783, 0.8237, 0.1254) (multiplicity 8)
Er (0.2500, 0.2500, 0.7500) (multiplicity 2)
Al (0.0618, 0.1588, 0.3560) (multiplicity 8)

Output
ΔH_f (0 K) = -0.158 eV/atom
VASP energy = -4.440 eV/atom
D(E_F) = 15.38 states/eV/cell



Density functional theory data (GGA-PBE) for PmEr6Al2 after structural relaxation.

a = 4.7579 Å, b = 4.7579 Å, c = 27.4770 Å
α = 90.00°, β = 90.00°, γ = 90.00°
Space group I-42m (No. 121)
Unique sites:
Pm (0.0000, 0.0000, 0.0000) (multiplicity 2)
Er (0.0000, 0.5000, 0.2500) (multiplicity 4)
Er (0.2478, 0.2478, 0.1043) (multiplicity 8)
Al (0.0000, 0.0000, 0.3136) (multiplicity 4)

Output
ΔH_f (0 K) = 0.506 eV/atom
polymorph energy (0 for the lowest one) = 0.671 eV per atom
VASP energy = -3.895 eV/atom
D(E_F) = 22.02 states/eV/cell



Density functional theory data (GGA-PBE) for Pm3ErAl2 after structural relaxation.

a = 5.1856 Å, b = 9.6848 Å, c = 6.6423 Å
α = 90.00°, β = 90.00°, γ = 90.00°
Space group Pmc2_1 (No. 26)
Unique sites:
Pm (0.0000, 0.0403, 0.0000) (multiplicity 2)
Pm (0.0000, 0.3308, 0.3342) (multiplicity 2)
Pm (0.5000, 0.1790, 0.7167) (multiplicity 2)
Er (0.5000, 0.4565, 0.0494) (multiplicity 2)
Al (0.0000, 0.3525, 0.8216) (multiplicity 2)
Al (0.5000, 0.1504, 0.2323) (multiplicity 2)

Output
ΔH_f (0 K) = -0.267 eV/atom
polymorph energy (0 for the lowest one) = 0.000 eV per atom
VASP energy = -4.650 eV/atom
D(E_F) = 10.99 states/eV/cell



Density functional theory data (GGA-PBE) for Pm2Er3Al2 after structural relaxation.

a = 9.1793 Å, b = 5.3066 Å, c = 8.4594 Å
α = 90.00°, β = 111.29°, γ = 90.00°
Space group C2/m (No. 12)
Unique sites:
Pm (0.0854, 0.0000, 0.2558) (multiplicity 4)
Er (0.0000, 0.5000, 0.5000) (multiplicity 2)
Er (0.1515, 0.5000, 0.9543) (multiplicity 4)
Al (0.2201, 0.0000, 0.6603) (multiplicity 4)

Output
ΔH_f (0 K) = -0.196 eV/atom
VASP energy = -4.578 eV/atom
D(E_F) = 8.91 states/eV/cell



Density functional theory data (GGA-PBE) for Pm6ErAl2 after structural relaxation.

a = 12.8178 Å, b = 3.7607 Å, c = 11.9562 Å
α = 90.00°, β = 109.33°, γ = 90.00°
Space group C2/m (No. 12)
Unique sites:
Pm (0.0262, 0.0000, 0.3255) (multiplicity 4)
Pm (0.1846, 0.5000, 0.8770) (multiplicity 4)
Pm (0.1894, 0.5000, 0.5918) (multiplicity 4)
Er (0.0000, 0.0000, 0.0000) (multiplicity 2)
Al (0.1474, 0.5000, 0.1949) (multiplicity 4)

Output
ΔH_f (0 K) = -0.144 eV/atom
VASP energy = -4.650 eV/atom
D(E_F) = 18.63 states/eV/cell



Density functional theory data (GGA-PBE) for Pm4Er5Al after structural relaxation.

a = 3.5638 Å, b = 3.5638 Å, c = 24.0986 Å
α = 90.00°, β = 90.00°, γ = 90.00°
Space group P4/mmm (No. 123)
Unique sites:
Pm (0.0000, 0.0000, 0.1050) (multiplicity 2)
Pm (0.0000, 0.0000, 0.3165) (multiplicity 2)
Er (0.5000, 0.5000, 0.0000) (multiplicity 1)
Er (0.5000, 0.5000, 0.2105) (multiplicity 2)
Er (0.5000, 0.5000, 0.4235) (multiplicity 2)
Al (0.0000, 0.0000, 0.5000) (multiplicity 1)

Output
ΔH_f (0 K) = -0.064 eV/atom
VASP energy = -4.620 eV/atom
D(E_F) = 12.69 states/eV/cell



Density functional theory data (GGA-PBE) for PmEr6Al6 after structural relaxation.

a = 5.8872 Å, b = 5.8872 Å, c = 10.4568 Å
α = 90.00°, β = 90.00°, γ = 120.00°
Space group P6/mmm (No. 191)
Unique sites:
Pm (0.0000, 0.0000, 0.0000) (multiplicity 1)
Er (0.0000, 0.0000, 0.3356) (multiplicity 2)
Er (0.3333, 0.6667, 0.0000) (multiplicity 2)
Er (0.3333, 0.6667, 0.5000) (multiplicity 2)
Al (0.0000, 0.5000, 0.2454) (multiplicity 6)

Output
ΔH_f (0 K) = -0.317 eV/atom
VASP energy = -4.515 eV/atom
D(E_F) = 15.61 states/eV/cell



Density functional theory data (GGA-PBE) for PmEr5Al6 after structural relaxation.

a = 5.0710 Å, b = 15.2241 Å, c = 7.1849 Å
α = 90.00°, β = 90.00°, γ = 90.00°
Space group Cmmm (No. 65)
Unique sites:
Pm (0.0000, 0.0000, 0.0000) (multiplicity 2)
Er (0.0000, 0.0000, 0.5000) (multiplicity 2)
Er (0.0000, 0.3323, 0.0000) (multiplicity 4)
Er (0.0000, 0.3358, 0.5000) (multiplicity 4)
Al (0.0000, 0.1695, 0.2556) (multiplicity 8)
Al (0.0000, 0.5000, 0.2539) (multiplicity 4)

Output
ΔH_f (0 K) = -0.388 eV/atom
VASP energy = -4.557 eV/atom
D(E_F) = 9.08 states/eV/cell



Density functional theory data (GGA-PBE) for Pm15Er4Al after structural relaxation.

a = 5.0529 Å, b = 5.0529 Å, c = 25.4459 Å
α = 90.00°, β = 90.00°, γ = 90.00°
Space group P4/mmm (No. 123)
Unique sites:
Pm (0.0000, 0.0000, 0.0000) (multiplicity 1)
Pm (0.0000, 0.0000, 0.1955) (multiplicity 2)
Pm (0.0000, 0.0000, 0.3984) (multiplicity 2)
Pm (0.0000, 0.5000, 0.0940) (multiplicity 4)
Pm (0.0000, 0.5000, 0.2973) (multiplicity 4)
Pm (0.0000, 0.5000, 0.5000) (multiplicity 2)
Er (0.5000, 0.5000, 0.1963) (multiplicity 2)
Er (0.5000, 0.5000, 0.3990) (multiplicity 2)
Al (0.5000, 0.5000, 0.0000) (multiplicity 1)

Output
ΔH_f (0 K) = -0.013 eV/atom
VASP energy = -4.676 eV/atom
D(E_F) = 26.73 states/eV/cell